# Ho6Sn3Bi PBE optimized geometry
data_Ho6Sn3Bi
_symmetry_space_group_name_H-M 'C m c 21'
_symmetry_Int_Tables_number 36
_symmetry_space_group_name_Hall 'C 2c -2'
_cell_length_a 10.722
_cell_length_b 15.101
_cell_length_c 7.612
_cell_angle_alpha 90.00
_cell_angle_beta 90.00
_cell_angle_gamma 90.00
loop_
_atom_site_label
_atom_site_type_symbol
_atom_site_fract_x
_atom_site_fract_y
_atom_site_fract_z
Ho1 Ho 0.000 0.016 0.000
Ho2 Ho 0.000 0.270 0.887
Ho3 Ho 0.197 0.283 0.499
Ho4 Ho 0.197 0.454 0.871
Sn1 Sn 0.000 0.427 0.585
Sn2 Sn 0.168 0.113 0.715
Bi1 Bi 0.000 0.171 0.260
# crystal system = orthorhombic


# Ho2SnBi PBE optimized geometry
data_Ho2SnBi
_symmetry_space_group_name_H-M 'R 3 m'
_symmetry_Int_Tables_number 160
_symmetry_space_group_name_Hall 'R 3 -2"'
_cell_length_a 4.2367
_cell_length_b 4.2367
_cell_length_c 23.9253
_cell_angle_alpha 90.00
_cell_angle_beta 90.00
_cell_angle_gamma 120.00
loop_
_atom_site_label
_atom_site_type_symbol
_atom_site_fract_x
_atom_site_fract_y
_atom_site_fract_z
Ho1 Ho 0.0000 0.0000 0.0000
Ho2 Ho 0.0000 0.0000 0.1710
Sn1 Sn 0.0000 0.0000 0.4176
Bi1 Bi 0.0000 0.0000 0.5870
# crystal system = trigonal


# Ho2SnBi PBE optimized geometry
data_Ho2SnBi
_symmetry_space_group_name_H-M 'C m c m'
_symmetry_Int_Tables_number 63
_symmetry_space_group_name_Hall '-C 2c 2'
_cell_length_a 4.501
_cell_length_b 23.955
_cell_length_c 4.351
_cell_angle_alpha 90.00
_cell_angle_beta 90.00
_cell_angle_gamma 90.00
loop_
_atom_site_label
_atom_site_type_symbol
_atom_site_fract_x
_atom_site_fract_y
_atom_site_fract_z
Ho1 Ho 0.000 0.061 0.250
Ho2 Ho 0.000 0.320 0.250
Sn1 Sn 0.000 0.453 0.250
Bi1 Bi 0.000 0.189 0.250
# crystal system = orthorhombic


# Ho2SnBi PBE optimized geometry
data_Ho2SnBi
_symmetry_space_group_name_H-M 'P 1 m 1'
_symmetry_Int_Tables_number 6
_symmetry_space_group_name_Hall 'P -2y'
_cell_length_a 4.289
_cell_length_b 4.561
_cell_length_c 6.247
_cell_angle_alpha 90.00
_cell_angle_beta 110.20
_cell_angle_gamma 90.00
loop_
_atom_site_label
_atom_site_type_symbol
_atom_site_fract_x
_atom_site_fract_y
_atom_site_fract_z
Ho1 Ho 0.000 0.000 0.000
Ho2 Ho 0.253 0.500 0.507
Sn1 Sn 0.516 0.500 0.031
Bi1 Bi 0.730 0.000 0.462
# crystal system = monoclinic


For reference, energy of formation from the pure elements by record: -4.85 -2.27 -3.02 -2.63 eV per formula unit.